Record 1
Entry from OQMD: HoNbMo after structural relaxation (PBE).

abc: 6.477 6.477 6.477
angles: 90.00 90.00 90.00
Fractional positions:
Ho 0.000 0.000 0.000
Ho 0.000 0.500 0.500
Ho 0.500 0.000 0.500
Ho 0.500 0.500 0.000
Nb 0.250 0.250 0.250
Nb 0.250 0.750 0.750
Nb 0.750 0.250 0.750
Nb 0.750 0.750 0.250
Mo 0.000 0.000 0.500
Mo 0.000 0.500 0.000
Mo 0.500 0.000 0.000
Mo 0.500 0.500 0.500

## Properties
Magnetization = 0.0 μB/f.u.
Formation energy = 0.837 eV per atom
Symmetry = F-43m

=====

Record 2
Entry from OQMD: NaCdBi after structural relaxation (PBE).

abc: 8.738 5.046 8.737
angles: 90.00 109.49 90.00
Fractional positions:
Na 0.000 0.000 0.000
Na 0.006 0.500 0.500
Na 0.500 0.500 0.000
Na 0.506 0.000 0.500
Cd 0.250 0.000 0.750
Cd 0.256 0.500 0.250
Cd 0.750 0.500 0.750
Cd 0.756 0.000 0.250
Bi 0.125 0.500 0.875
Bi 0.131 0.000 0.375
Bi 0.625 0.000 0.875
Bi 0.631 0.500 0.375

## Properties
Symmetry = Cm
Total DFT energy (no corrections) = -2.319 eV per atom

=====

Record 3
Entry from OQMD: SrMg2Cd2 after structural relaxation (PBE).

abc: 4.628 4.628 12.668
angles: 90.00 90.00 90.00
Fractional positions:
Sr 0.000 0.000 0.000
Sr 0.500 0.500 0.500
Mg 0.000 0.500 0.250
Mg 0.000 0.500 0.750
Mg 0.500 0.000 0.250
Mg 0.500 0.000 0.750
Cd 0.000 0.000 0.388
Cd 0.000 0.000 0.612
Cd 0.500 0.500 0.112
Cd 0.500 0.500 0.888

## Properties
Symmetry = I4/mmm
Total DFT energy (no corrections) = -1.530 eV per atom

=====

Record 4
Entry from OQMD: KNa2ZrF7 after structural relaxation (PBE).

abc: 7.966 6.003 5.762
angles: 90.00 90.00 90.00
Fractional positions:
K 0.000 0.235 0.000
K 0.500 0.765 0.500
Na 0.239 0.713 0.984
Na 0.261 0.287 0.484
Na 0.739 0.287 0.484
Na 0.761 0.713 0.984
Zr 0.000 0.825 0.495
Zr 0.500 0.175 0.995
F 0.000 0.170 0.555
F 0.000 0.588 0.234
F 0.000 0.845 0.851
F 0.190 0.950 0.282
F 0.196 0.619 0.603
F 0.304 0.381 0.103
F 0.310 0.050 0.782
F 0.500 0.155 0.351
F 0.500 0.412 0.734
F 0.500 0.830 0.055
F 0.690 0.050 0.782
F 0.696 0.381 0.103
F 0.804 0.619 0.603
F 0.810 0.950 0.282

## Properties
Magnetization = 0.0 μB/f.u.
Symmetry = Pmn2_1
Total DFT energy (no corrections) = -5.534 eV per atom

=====

Record 5
Entry from OQMD: SmSi2NiAg after structural relaxation (PBE).

abc: 4.119 4.119 10.155
angles: 90.00 90.00 90.00
Fractional positions:
Sm 0.000 0.000 0.000
Sm 0.500 0.500 0.500
Si 0.000 0.000 0.384
Si 0.000 0.000 0.616
Si 0.500 0.500 0.116
Si 0.500 0.500 0.884
Ni 0.000 0.500 0.750
Ni 0.500 0.000 0.250
Ag 0.000 0.500 0.250
Ag 0.500 0.000 0.750

## Properties
Magnetization = 0.0 μB/f.u.
Symmetry = I-4m2
Total DFT energy (no corrections) = -5.351 eV per atom

=====

Record 6
Entry from OQMD: CsAuSeO after structural relaxation (PBE).

abc: 4.751 4.751 9.813
angles: 90.00 90.00 90.00
Fractional positions:
Cs 0.250 0.750 0.000
Cs 0.750 0.250 0.000
Au 0.250 0.250 0.488
Au 0.750 0.750 0.512
Se 0.250 0.250 0.235
Se 0.750 0.750 0.765
O 0.250 0.750 0.500
O 0.750 0.250 0.500

## Properties
Symmetry = P4/nmm
Total DFT energy (no corrections) = -2.835 eV per atom

=====

Record 7
Entry from OQMD: AgI after structural relaxation (PBE).

abc: 4.507 4.507 22.312
angles: 90.00 90.00 120.00
Fractional positions:
Ag 0.000 0.000 0.000
Ag 0.000 0.000 0.333
Ag 0.000 0.000 0.666
Ag 0.333 0.667 0.593
Ag 0.333 0.667 0.927
Ag 0.667 0.333 0.260
I 0.000 0.000 0.203
I 0.000 0.000 0.536
I 0.000 0.000 0.870
I 0.333 0.667 0.057
I 0.333 0.667 0.723
I 0.667 0.333 0.390

## Properties
Symmetry = P3m1
Total DFT energy (no corrections) = -2.432 eV per atom

=====

Record 8
Entry from OQMD: Li2DyPt2 after structural relaxation (PBE).

abc: 6.140 6.140 6.140
angles: 122.60 97.12 109.71
Fractional positions:
Li 0.137 0.000 0.137
Li 0.363 0.500 0.863
Li 0.637 0.500 0.137
Li 0.863 0.000 0.863
Dy 0.001 0.501 0.500
Dy 0.501 0.001 0.500
Pt 0.001 0.501 0.002
Pt 0.499 0.999 0.998
Pt 0.501 0.499 0.500
Pt 0.999 0.001 0.500

## Properties
Magnetization = 0.0 μB/f.u.
Symmetry = Iba2
Total DFT energy (no corrections) = -4.738 eV per atom